This record from the Alexandria database describes La2GeBi after structural relaxation. The functional is PBE.

Calculated values
Energy of formation: -3.3 eV per formula unit
DFT total energy: -65.076 eV for the cell shown
Distance to the lowest polymorph of the same formula: 0.036 eV per atom

Lattice parameters (Å, degrees): 4.5047 4.5047 22.8637 90.00 90.00 120.00
Space group R-3m (No. 166, hexagonal axes)
Asymmetric unit:
La (0.0000, 0.0000, 0.2435)
Ge (0.0000, 0.0000, 0.5000)
Bi (0.0000, 0.0000, 0.0000)